Entry 1:
A plane-wave DFT calculation with PBE was carried out for an optimized crystal structure of Na3ReAs.

As for the formation energy: 1.58 eV per atom. For the total energy, the calculation gives -13.17 eV for the cell shown. The calculated volume comes out at 35.8 A^3/atom. For the spin magnetization, the calculation gives 5.00 μB/f.u.

It has space group Pm-3m (No. 221), with a = 5.6347 Å, b = 5.6347 Å, c = 5.6347 Å, α = 90.00°, β = 90.00° and γ = 90.00°. Symmetry generates all atoms from Na at (0.0000, 0.0000, 0.5000), Re at (0.0000, 0.0000, 0.0000) and As at (0.5000, 0.5000, 0.5000).

---

Entry 2:
A plane-wave DFT calculation with PBE was carried out for an optimized crystal structure of NaRe3As.

As for the formation energy: 1.70 eV per atom. For the total energy, the calculation gives -34.81 eV for the cell shown. The calculated volume comes out at 19.6 A^3/atom. For the spin magnetization, the calculation gives 0.00 μB/f.u.

It has space group Pm-3m (No. 221), with a = 4.6134 Å, b = 4.6134 Å, c = 4.6134 Å, α = 90.00°, β = 90.00° and γ = 90.00°. Symmetry generates all atoms from Na at (0.0000, 0.0000, 0.0000), Re at (0.0000, 0.5000, 0.5000) and As at (0.5000, 0.5000, 0.5000).

---

Entry 3:
A plane-wave DFT calculation with PBE was carried out for an optimized crystal structure of NaReAs2.

As for the formation energy: 0.04 eV per atom. For the total energy, the calculation gives -68.69 eV for the cell shown. The calculated volume comes out at 20.9 A^3/atom. For the spin magnetization, the calculation gives 0.00 μB/f.u.

It has space group R-3m (No. 166, hexagonal axes), with a = 3.2454 Å, b = 3.2454 Å, c = 27.5543 Å, α = 90.00°, β = 90.00° and γ = 120.00°. Symmetry generates all atoms from Na at (0.0000, 0.0000, 0.0000), Re at (0.0000, 0.0000, 0.5000) and As at (0.0000, 0.0000, 0.1039).

---

Entry 4:
A plane-wave DFT calculation with PBE was carried out for an optimized crystal structure of Na2ReAs2.

As for the formation energy: -0.03 eV per atom. For the total energy, the calculation gives -49.06 eV for the cell shown. The calculated volume comes out at 20.4 A^3/atom. For the spin magnetization, the calculation gives 0.72 μB/f.u.

It has space group P4/mbm (No. 127), with a = 6.4703 Å, b = 6.4703 Å, c = 4.8780 Å, α = 90.00°, β = 90.00° and γ = 90.00°. Symmetry generates all atoms from Na at (0.1768, 0.3232, 0.0000), Re at (0.0000, 0.0000, 0.5000) and As at (0.1449, 0.6449, 0.5000).

---

Entry 5:
A plane-wave DFT calculation with PBE was carried out for an optimized crystal structure of NaReAs2S.

For the total energy, the calculation gives -16.62 eV for the cell shown. The calculated volume comes out at 23.9 A^3/atom. For the spin magnetization, the calculation gives 3.18 μB/f.u.

It has space group P4/mmm (No. 123), with a = 4.8019 Å, b = 4.8019 Å, c = 5.1898 Å, α = 90.00°, β = 90.00° and γ = 90.00°. Symmetry generates all atoms from Na at (0.0000, 0.0000, 0.0000), Re at (0.0000, 0.0000, 0.5000), As at (0.0000, 0.5000, 0.0000) and S at (0.5000, 0.5000, 0.5000).

---

Entry 6:
A plane-wave DFT calculation with PBE was carried out for an optimized crystal structure of NaReSbAs2.

For the total energy, the calculation gives -18.07 eV for the cell shown. The calculated volume comes out at 24.9 A^3/atom. For the spin magnetization, the calculation gives 3.43 μB/f.u.

It has space group P4/mmm (No. 123), with a = 4.8718 Å, b = 4.8718 Å, c = 5.2540 Å, α = 90.00°, β = 90.00° and γ = 90.00°. Symmetry generates all atoms from Na at (0.0000, 0.0000, 0.0000), Re at (0.5000, 0.5000, 0.5000), Sb at (0.0000, 0.0000, 0.5000) and As at (0.0000, 0.5000, 0.0000).

---

Entry 7:
A plane-wave DFT calculation with PBE was carried out for an optimized crystal structure of NaReAs2Se.

For the total energy, the calculation gives -25.55 eV for the cell shown. The calculated volume comes out at 25.1 A^3/atom. For the spin magnetization, the calculation gives 0.18 μB/f.u.

It has space group P4/mmm (No. 123), with a = 4.7418 Å, b = 4.7418 Å, c = 5.5905 Å, α = 90.00°, β = 90.00° and γ = 90.00°. Symmetry generates all atoms from Na at (0.0000, 0.0000, 0.0000), Re at (0.5000, 0.5000, 0.5000), As at (0.0000, 0.5000, 0.5000) and Se at (0.5000, 0.5000, 0.0000).

---

Entry 8:
A plane-wave DFT calculation with PBE was carried out for an optimized crystal structure of NaReAs2Se.

For the total energy, the calculation gives -16.92 eV for the cell shown. The calculated volume comes out at 21.8 A^3/atom. For the spin magnetization, the calculation gives 0.01 μB/f.u.

It has space group P4/mmm (No. 123), with a = 4.7627 Å, b = 4.7627 Å, c = 4.7951 Å, α = 90.00°, β = 90.00° and γ = 90.00°. Symmetry generates all atoms from Na at (0.0000, 0.0000, 0.0000), Re at (0.5000, 0.5000, 0.5000), As at (0.0000, 0.5000, 0.0000) and Se at (0.0000, 0.0000, 0.5000).